Density functional theory data (PBE-GGA) for an optimized crystal structure of TaCr4Ni.

Cell lengths 4.782, 4.782, 4.782 Å; angles 60.00, 60.00, 60.00 degrees
Element x y z (fractional)
Ta  0.000  0.000  0.000
Cr  0.374  0.374  0.374
Cr  0.374  0.374  0.877
Cr  0.374  0.877  0.374
Cr  0.877  0.374  0.374
Ni  0.750  0.750  0.750

## Properties
- space-group type = F-43m
- DFT formation energy (kJ/mol of formula units) = 74

Density functional theory data (PBE-GGA) for an optimized crystal structure of Pm6DyIn5.

Cell lengths 9.220, 9.220, 9.220 Å; angles 148.24, 121.12, 68.46 degrees
Element x y z (fractional)
Pm  0.068  0.329  0.739
Pm  0.233  0.000  0.233
Pm  0.409  0.671  0.739
Pm  0.591  0.329  0.261
Pm  0.767  0.000  0.767
Pm  0.932  0.671  0.261
Dy  0.500  0.500  0.000
In  0.000  0.500  0.500
In  0.173  0.173  0.000
In  0.347  0.847  0.500
In  0.653  0.153  0.500
In  0.827  0.827  0.000

## Properties
- space-group type = Immm
- DFT formation energy (kJ/mol of formula units) = -460

Density functional theory data (PBE-GGA) for an optimized crystal structure of GaBiPSe.

Cell lengths 3.718, 4.009, 7.568 Å; angles 90.24, 104.13, 117.53 degrees
Element x y z (fractional)
Ga  0.000  0.000  0.000
Bi  0.023  0.589  0.460
P  0.577  0.915  0.242
Se  0.574  0.323  0.823

## Properties
- relative energy among the computed polymorphs (eV per atom) = 0.088
- formation energy from raw total energies (eV per formula unit) = -0.6
- space-group type = P1

Density functional theory data (PBE-GGA) for an optimized crystal structure of SmLu2In.

Cell lengths 3.569, 3.569, 8.986 Å; angles 90.00, 90.00, 90.00 degrees
Element x y z (fractional)
Sm  0.000  0.000  0.000
Lu  0.500  0.500  0.276
Lu  0.500  0.500  0.724
In  0.000  0.000  0.500

## Properties
- relative energy among the computed polymorphs (eV per atom) = 0.018
- space-group type = P4/mmm
- DFT formation energy (kJ/mol of formula units) = -90

Density functional theory data (PBE-GGA) for an optimized crystal structure of CeNd2Ir.

Cell lengths 6.441, 6.441, 9.872 Å; angles 90.00, 90.00, 145.12 degrees
Element x y z (fractional)
Ce  0.088  0.912  0.750
Ce  0.912  0.088  0.250
Nd  0.360  0.640  0.565
Nd  0.360  0.640  0.935
Nd  0.640  0.360  0.065
Nd  0.640  0.360  0.435
Ir  0.255  0.745  0.250
Ir  0.745  0.255  0.750

## Properties
- relative energy among the computed polymorphs (eV per atom) = 0.033
- space-group type = Cmcm
- DFT formation energy (kJ/mol of formula units) = -154

Density functional theory data (PBE-GGA) for an optimized crystal structure of SrZnTc.

Cell lengths 6.212, 6.212, 7.734 Å; angles 127.24, 127.24, 39.32 degrees
Element x y z (fractional)
Sr  0.000  0.000  0.000
Sr  0.130  0.130  0.680
Zn  0.442  0.442  0.260
Zn  0.783  0.783  0.183
Tc  0.330  0.330  0.466
Tc  0.724  0.724  0.454

## Properties
- relative energy among the computed polymorphs (eV per atom) = 0.082
- space-group type = Cm
- DFT formation energy (kJ/mol of formula units) = 34

Density functional theory data (PBE-GGA) for an optimized crystal structure of Pm3Hg8.

Cell lengths 5.047, 5.047, 12.811 Å; angles 100.79, 100.79, 60.42 degrees
Element x y z (fractional)
Pm  0.000  0.000  0.000
Pm  0.451  0.451  0.352
Pm  0.549  0.549  0.648
Hg  0.085  0.085  0.256
Hg  0.167  0.167  0.500
Hg  0.274  0.274  0.821
Hg  0.364  0.364  0.091
Hg  0.636  0.636  0.909
Hg  0.726  0.726  0.179
Hg  0.833  0.833  0.500
Hg  0.915  0.915  0.744

## Properties
- space-group type = C2/m
- DFT formation energy (kJ/mol of formula units) = -400

Density functional theory data (PBE-GGA) for an optimized crystal structure of MgNiAs2.

Cell lengths 5.264, 5.264, 5.264 Å; angles 137.68, 137.68, 61.39 degrees
Element x y z (fractional)
Mg  0.000  0.000  0.000
Ni  0.250  0.750  0.500
As  0.500  0.500  0.000
As  0.750  0.250  0.500

## Properties
- space-group type = I-4m2
- DFT formation energy (kJ/mol of formula units) = -14

Density functional theory data (PBE-GGA) for an optimized crystal structure of ZrCoPb3.

Cell lengths 5.639, 5.639, 5.639 Å; angles 90.00, 90.00, 90.00 degrees
Element x y z (fractional)
Zr  0.000  0.000  0.000
Co  0.500  0.500  0.500
Pb  0.000  0.000  0.500
Pb  0.000  0.500  0.000
Pb  0.500  0.000  0.000

## Properties
- relative energy among the computed polymorphs (eV per atom) = 0.471
- space-group type = Pm-3m
- DFT formation energy (kJ/mol of formula units) = 511

Density functional theory data (PBE-GGA) for an optimized crystal structure of VAg2TeH.

Cell lengths 5.264, 5.264, 5.013 Å; angles 90.00, 90.00, 90.00 degrees
Element x y z (fractional)
V  0.000  0.000  0.000
Ag  0.000  0.500  0.000
Ag  0.500  0.000  0.000
Te  0.000  0.000  0.500
H  0.500  0.500  0.500

## Properties
- electronic total energy (eV/cell) = -16.00
- space-group type = P4/mmm

Density functional theory data (PBE-GGA) for an optimized crystal structure of AcLaGa3.

Cell lengths 13.820, 13.820, 4.332 Å; angles 90.00, 90.00, 161.05 degrees
Element x y z (fractional)
Ac  0.202  0.798  0.750
Ac  0.798  0.202  0.250
La  0.070  0.930  0.250
La  0.930  0.070  0.750
Ga  0.335  0.665  0.750
Ga  0.386  0.614  0.250
Ga  0.478  0.522  0.250
Ga  0.522  0.478  0.750
Ga  0.614  0.386  0.750
Ga  0.665  0.335  0.250

## Properties
- space-group type = Cmcm
- DFT formation energy (kJ/mol of formula units) = -302

Density functional theory data (PBE-GGA) for an optimized crystal structure of TmFeC.

Cell lengths 6.608, 6.608, 6.608 Å; angles 101.50, 101.50, 101.50 degrees
Element x y z (fractional)
Tm  0.139  0.375  0.603
Tm  0.375  0.603  0.139
Tm  0.397  0.861  0.625
Tm  0.603  0.139  0.375
Tm  0.625  0.397  0.861
Tm  0.861  0.625  0.397
Fe  0.007  0.992  0.291
Fe  0.008  0.709  0.993
Fe  0.291  0.007  0.992
Fe  0.709  0.993  0.008
Fe  0.992  0.291  0.007
Fe  0.993  0.008  0.709
C  0.095  0.760  0.754
C  0.240  0.246  0.905
C  0.246  0.905  0.240
C  0.754  0.095  0.760
C  0.760  0.754  0.095
C  0.905  0.240  0.246

## Properties
- relative energy among the computed polymorphs (eV per atom) = 0.218
- space-group type = R-3
- DFT formation energy (kJ/mol of formula units) = 10

Density functional theory data (PBE-GGA) for an optimized crystal structure of AgBiI4O12.

Cell lengths 16.381, 16.381, 12.892 Å; angles 90.39, 90.39, 20.05 degrees
Element x y z (fractional)
Ag  0.189  0.667  0.089
Ag  0.216  0.784  0.500
Ag  0.667  0.189  0.589
Ag  0.784  0.216  0.000
Bi  0.185  0.580  0.383
Bi  0.412  0.766  0.885
Bi  0.580  0.185  0.883
Bi  0.766  0.412  0.385
I  0.037  0.577  0.975
I  0.052  0.677  0.677
I  0.091  0.446  0.243
I  0.200  0.739  0.842
I  0.299  0.916  0.590
I  0.336  0.720  0.183
I  0.392  0.940  0.288
I  0.446  0.091  0.743
I  0.532  0.877  0.019
I  0.577  0.037  0.475
I  0.677  0.052  0.177
I  0.720  0.336  0.683
I  0.739  0.200  0.342
I  0.877  0.532  0.519
I  0.916  0.299  0.090
I  0.940  0.392  0.788
O  0.006  0.166  0.539
O  0.050  0.935  0.192
O  0.071  0.720  0.558
O  0.108  0.216  0.667
O  0.117  0.166  0.880
O  0.166  0.006  0.039
O  0.166  0.117  0.380
O  0.180  0.855  0.917
O  0.211  0.251  0.323
O  0.216  0.108  0.167
O  0.251  0.211  0.823
O  0.255  0.900  0.710
O  0.256  0.277  0.122
O  0.272  0.360  0.302
O  0.276  0.429  0.003
O  0.277  0.256  0.622
O  0.279  0.521  0.754
O  0.360  0.272  0.802
O  0.403  0.490  0.931
O  0.429  0.276  0.503
O  0.442  0.618  0.319
O  0.469  0.675  0.519
O  0.476  0.501  0.634
O  0.490  0.403  0.431
O  0.501  0.476  0.134
O  0.521  0.279  0.254
O  0.543  0.699  0.261
O  0.618  0.442  0.819
O  0.619  0.695  0.963
O  0.675  0.469  0.019
O  0.695  0.619  0.463
O  0.699  0.543  0.761
O  0.700  0.716  0.140
O  0.716  0.700  0.640
O  0.720  0.071  0.058
O  0.728  0.756  0.938
O  0.756  0.728  0.438
O  0.760  0.861  0.593
O  0.786  0.985  0.718
O  0.803  0.861  0.381
O  0.855  0.180  0.417
O  0.861  0.760  0.093
O  0.861  0.803  0.881
O  0.900  0.255  0.210
O  0.919  0.967  0.900
O  0.935  0.050  0.692
O  0.967  0.919  0.400
O  0.985  0.786  0.218

## Properties
- formation energy from raw total energies (eV per formula unit) = -8.1
- space-group type = Cc

Density functional theory data (PBE-GGA) for an optimized crystal structure of MgCrPb2.

Cell lengths 5.255, 5.255, 5.255 Å; angles 60.00, 60.00, 60.00 degrees
Element x y z (fractional)
Mg  0.000  0.000  0.000
Cr  0.750  0.750  0.750
Pb  0.250  0.250  0.250
Pb  0.500  0.500  0.500

## Properties
- space-group type = F-43m
- DFT formation energy (kJ/mol of formula units) = 158

Density functional theory data (PBE-GGA) for an optimized crystal structure of Li2Sm2Pt3.

Cell lengths 10.911, 10.911, 3.368 Å; angles 90.00, 90.00, 160.70 degrees
Element x y z (fractional)
Li  0.218  0.782  0.000
Li  0.782  0.218  0.000
Sm  0.084  0.916  0.000
Sm  0.916  0.084  0.000
Pt  0.336  0.664  0.500
Pt  0.500  0.500  0.500
Pt  0.664  0.336  0.500

## Properties
- space-group type = Cmmm
- DFT formation energy (kJ/mol of formula units) = -526

Density functional theory data (PBE-GGA) for an optimized crystal structure of La2MgRu.

Cell lengths 8.087, 8.087, 7.342 Å; angles 90.00, 90.00, 150.46 degrees
Element x y z (fractional)
La  0.150  0.850  0.000
La  0.150  0.850  0.500
La  0.850  0.150  0.000
La  0.850  0.150  0.500
Mg  0.488  0.512  0.750
Mg  0.512  0.488  0.250
Ru  0.313  0.687  0.750
Ru  0.687  0.313  0.250

## Properties
- space-group type = Cmcm
- DFT formation energy (kJ/mol of formula units) = -79

Density functional theory data (PBE-GGA) for an optimized crystal structure of Al2MoAsI.

Cell lengths 4.942, 4.942, 5.716 Å; angles 90.00, 90.00, 90.00 degrees
Element x y z (fractional)
Al  0.000  0.500  0.000
Al  0.500  0.000  0.000
Mo  0.000  0.000  0.500
As  0.500  0.500  0.000
I  0.500  0.500  0.500

## Properties
- formation energy from raw total energies (eV per formula unit) = 6.3
- space-group type = P4/mmm

Density functional theory data (PBE-GGA) for an optimized crystal structure of ErPuMg4.

Cell lengths 6.008, 6.008, 6.008 Å; angles 60.00, 60.00, 60.00 degrees
Element x y z (fractional)
Er  0.000  0.000  0.000
Pu  0.250  0.250  0.250
Mg  0.125  0.625  0.625
Mg  0.625  0.125  0.625
Mg  0.625  0.625  0.125
Mg  0.625  0.625  0.625

## Properties
- space-group type = F-43m
- DFT formation energy (kJ/mol of formula units) = 30

Density functional theory data (PBE-GGA) for an optimized crystal structure of SrTl2Cr.

Cell lengths 10.711, 10.711, 10.711 Å; angles 152.22, 152.22, 39.69 degrees
Element x y z (fractional)
Sr  0.000  0.000  0.000
Sr  0.750  0.250  0.500
Tl  0.218  0.625  0.093
Tl  0.375  0.468  0.593
Tl  0.532  0.125  0.907
Tl  0.875  0.782  0.407
Cr  0.250  0.750  0.500
Cr  0.500  0.500  0.000

## Properties
- space-group type = I-42d
- DFT formation energy (kJ/mol of formula units) = 148

Density functional theory data (PBE-GGA) for an optimized crystal structure of RbHg2Cl6.

Cell lengths 7.859, 7.859, 10.324 Å; angles 125.97, 125.97, 40.30 degrees
Element x y z (fractional)
Rb  0.000  0.000  0.000
Hg  0.171  0.171  0.580
Hg  0.829  0.829  0.420
Cl  0.013  0.013  0.691
Cl  0.302  0.302  0.429
Cl  0.333  0.333  0.869
Cl  0.667  0.667  0.131
Cl  0.698  0.698  0.571
Cl  0.987  0.987  0.309

## Properties
- formation energy from raw total energies (eV per formula unit) = -6.9
- space-group type = C2/m

Density functional theory data (PBE-GGA) for an optimized crystal structure of BeNi2Pb.

Cell lengths 3.681, 3.681, 5.325 Å; angles 110.26, 110.26, 60.10 degrees
Element x y z (fractional)
Be  0.000  0.000  0.000
Ni  0.372  0.372  0.118
Ni  0.611  0.611  0.834
Pb  0.822  0.822  0.463

## Properties
- relative energy among the computed polymorphs (eV per atom) = 0.000
- space-group type = Cm
- DFT formation energy (kJ/mol of formula units) = 22

Density functional theory data (PBE-GGA) for an optimized crystal structure of TbNd3Sn2.

Cell lengths 9.926, 9.926, 9.926 Å; angles 159.59, 146.07, 39.92 degrees
Element x y z (fractional)
Tb  0.000  0.000  0.000
Nd  0.179  0.179  0.000
Nd  0.500  0.000  0.500
Nd  0.821  0.821  0.000
Sn  0.347  0.347  0.000
Sn  0.653  0.653  0.000

## Properties
- relative energy among the computed polymorphs (eV per atom) = 0.462
- space-group type = Immm
- DFT formation energy (kJ/mol of formula units) = -67

One value per record, in order, for N(E_F): 1.5033 0.9837 0.2406 0.7094 2.1093 0.4269 0.5367 0.5288 1.6175 0.9306 0.6241 0.8144 0.0000 0.7372 0.5237 0.8116 0.6474 2.0818 0.7935 0.5025 0.4329 1.3696 states/eV/atom.
One value per record, in order, for ρ: 9.61 7.65 6.71 8.92 8.80 5.75 12.23 5.92 7.15 4.73 7.11 8.79 5.69 7.94 11.28 5.66 4.18 5.51 6.84 3.61 9.66 7.24 g/cm³.